Compound: MnRhBr2
Source: the Alexandria database
Functional: GGA-PBE
Structure: relaxed

The structure in POSCAR format:
```
MnRhBr2
1.0
-2.408 -1.909 -1.766
2.199 -3.509 0.794
-1.743 -2.177 4.730
Br Mn Rh
2 1 1
Cartesian
0.000 0.000 0.000
-0.976 -3.797 1.879
-0.104 -2.709 -0.486
-0.872 -1.088 2.365
```

Output
- ΔE_f (raw): 0.23 eV/atom
- Crystal system: monoclinic